(1)
MoAsPt2Se, optimized geometry, DFT GGA-PBE; total magnetization = 2.69 μB per cell; uncorrected energy = -5.394 eV per atom; symmetry = P4/mmm, No. 123; density of states at the Fermi level = 0.60 states/eV per atom
1.0
4.6571 0.0000 0.0000
0.0000 4.6571 0.0000
0.0000 0.0000 4.8577
Mo As Pt Se
1 1 2 1
Cartesian
0.0000 0.0000 0.0000
0.0000 0.0000 2.4289
0.0000 2.3286 2.4289
2.3286 0.0000 2.4289
2.3286 2.3286 0.0000

***

(2)
ScIr2, optimized geometry, DFT GGA-PBE; total magnetization = 0.00 μB per cell; uncorrected energy = -8.375 eV per atom; symmetry = I4_1/amd, No. 141; density of states at the Fermi level = 0.79 states/eV per atom
1.0
-1.9084 1.9084 7.8668
1.9084 -1.9084 7.8668
1.9084 1.9084 -7.8668
Sc Ir
2 4
Cartesian
1.9084 0.9542 1.9667
0.0000 0.9542 5.9001
1.9084 -0.9542 4.7078
1.9084 -0.9542 7.0923
0.0000 2.8626 0.7745
0.0000 2.8626 3.1589

***

(3)
LuScSn2, optimized geometry, DFT GGA-PBE; total magnetization = 0.00 μB per cell; uncorrected energy = -5.171 eV per atom; symmetry = Fm-3m, No. 225; density of states at the Fermi level = 0.74 states/eV per atom
1.0
0.0000 3.6690 3.6690
3.6690 0.0000 3.6690
3.6690 3.6690 0.0000
Lu Sc Sn
1 1 2
Cartesian
0.0000 0.0000 0.0000
3.6690 3.6690 3.6690
1.8345 1.8345 1.8345
5.5035 5.5035 5.5035

***

(4)
MgSiIr2, optimized geometry, DFT GGA-PBE; total magnetization = 0.00 μB per cell; uncorrected energy = -6.371 eV per atom; symmetry = P4mm, No. 99; density of states at the Fermi level = 0.74 states/eV per atom
1.0
3.2172 0.0000 0.0000
0.0000 3.2172 0.0000
0.0000 0.0000 5.6642
Mg Si Ir
1 1 2
Cartesian
0.0000 0.0000 0.0000
1.6086 1.6086 1.5857
0.0000 0.0000 2.6167
1.6086 1.6086 4.4708

***

(5)
Ac5Tl2Si, optimized geometry, DFT GGA-PBE; total magnetization = 0.00 μB per cell; uncorrected energy = -4.155 eV per atom; symmetry = Pbam, No. 55; density of states at the Fermi level = 0.78 states/eV per atom
1.0
7.5297 0.0000 0.0000
0.0000 14.0325 0.0000
0.0000 0.0000 5.4717
Ac Tl Si
10 4 2
Cartesian
0.0000 0.0000 0.0000
1.0517 4.0299 0.0000
1.2285 8.2404 2.7359
2.5363 1.2242 2.7359
2.7131 11.0461 0.0000
3.7648 7.0163 0.0000
4.8166 2.9864 0.0000
4.9933 12.8083 2.7359
6.3012 5.7921 2.7359
6.4779 10.0027 0.0000
0.7780 11.8420 2.7359
2.9869 4.8258 2.7359
4.5428 9.2067 2.7359
6.7517 2.1905 2.7359
0.0000 7.0163 0.0000
3.7648 0.0000 0.0000

***

(6)
SbOs2Pt, optimized geometry, DFT GGA-PBE; total magnetization = 0.00 μB per cell; uncorrected energy = -7.519 eV per atom; symmetry = R-3m, No. 166; density of states at the Fermi level = 1.47 states/eV per atom
1.0
1.4898 0.8601 8.5323
-1.4898 0.8601 8.5323
0.0000 -1.7202 8.5323
Sb Os Pt
1 2 1
Cartesian
0.0000 0.0000 0.0000
0.0000 0.0000 6.4502
0.0000 0.0000 19.1468
0.0000 0.0000 12.7985

***

(7)
MgSb2Rh2, optimized geometry, DFT GGA-PBE; total magnetization = 0.00 μB per cell; uncorrected energy = -5.219 eV per atom; symmetry = P4/mbm, No. 127; density of states at the Fermi level = 0.46 states/eV per atom
1.0
7.3354 0.0000 0.0000
0.0000 7.3354 0.0000
0.0000 0.0000 3.5702
Mg Sb Rh
2 4 4
Cartesian
0.0000 0.0000 0.0000
3.6677 3.6677 0.0000
1.1729 2.4948 1.7851
2.4948 6.1625 1.7851
4.8405 1.1729 1.7851
6.1625 4.8405 1.7851
1.0260 4.6937 0.0000
2.6417 1.0260 0.0000
4.6937 6.3094 0.0000
6.3094 2.6417 0.0000

***

(8)
RbGaPbCl6, optimized geometry, DFT GGA-PBE; total magnetization = 0.00 μB per cell; uncorrected energy = -3.389 eV per atom; symmetry = P312, No. 149; density of states at the Fermi level = 0.00 states/eV per atom
1.0
7.0826 0.0000 0.0000
-3.5413 6.1337 0.0000
0.0000 0.0000 7.0081
Rb Ga Pb Cl
1 1 1 6
Cartesian
0.0000 0.0000 0.0000
3.5413 2.0446 3.5041
0.0000 4.0891 3.5041
2.6197 0.3253 4.9227
1.5916 2.1060 2.0854
4.4629 0.3253 2.0854
2.5132 3.7024 4.9227
5.4910 2.1060 4.9227
4.5694 3.7024 2.0854

***

(9)
Dy4C2F, optimized geometry, DFT GGA-PBE; total magnetization = 0.00 μB per cell; uncorrected energy = -6.567 eV per atom; symmetry = P2/m, No. 10; density of states at the Fermi level = 0.55 states/eV per atom
1.0
6.2288 0.0000 0.0000
0.0000 3.5880 0.0000
-1.9915 0.0000 5.9636
Dy C F
4 2 1
Cartesian
1.0316 0.0000 1.3243
0.0708 1.7940 4.6318
4.1665 1.7940 1.3318
3.2056 0.0000 4.6394
0.0000 1.7940 0.0000
3.1144 0.0000 0.0000
2.1186 1.7940 2.9818

***

(10)
AgAsOs2, optimized geometry, DFT GGA-PBE; total magnetization = 0.00 μB per cell; uncorrected energy = -6.773 eV per atom; symmetry = Imm2, No. 44; density of states at the Fermi level = 0.93 states/eV per atom
1.0
-1.4044 2.3418 4.9984
1.4044 -2.3418 4.9984
1.4044 2.3418 -4.9984
Ag As Os
1 1 2
Cartesian
0.0000 0.0000 0.0000
1.4044 0.0000 2.8926
0.0000 0.0000 5.1284
0.0000 2.3418 2.2504

***

(11)
SmGa3PtRh, optimized geometry, DFT GGA-PBE; total magnetization = 0.00 μB per cell; uncorrected energy = -5.046 eV per atom; symmetry = Cmcm, No. 63; density of states at the Fermi level = 0.42 states/eV per atom
1.0
3.9824 -5.4653 0.0000
3.9824 5.4653 0.0000
0.0000 0.0000 5.8702
Sm Ga Pt Rh
2 6 2 2
Cartesian
3.9824 2.8075 4.4027
3.9824 -2.8075 1.4676
2.0144 0.0000 0.0000
2.0144 0.0000 2.9351
3.9824 2.6084 1.4676
3.9824 -2.6084 4.4027
5.9504 0.0000 0.0000
5.9504 0.0000 2.9351
3.9824 5.0033 1.4676
3.9824 -5.0033 4.4027
3.9824 0.2786 1.4676
3.9824 -0.2786 4.4027

***

(12)
LaDyTlGa, optimized geometry, DFT GGA-PBE; total magnetization = 0.00 μB per cell; uncorrected energy = -4.215 eV per atom; symmetry = P4mm, No. 99; density of states at the Fermi level = 0.56 states/eV per atom
1.0
3.7100 0.0000 0.0000
0.0000 3.7100 0.0000
0.0000 0.0000 7.8493
La Dy Tl Ga
1 1 1 1
Cartesian
0.0000 0.0000 0.0000
0.0000 0.0000 4.2122
1.8550 1.8550 2.2556
1.8550 1.8550 5.8940

***

(13)
Zr5Nb2H12, optimized geometry, DFT GGA-PBE; total magnetization = 0.00 μB per cell; uncorrected energy = -5.731 eV per atom; symmetry = C2/m, No. 12; density of states at the Fermi level = 0.43 states/eV per atom
1.0
5.2950 -2.8058 0.0000
5.2950 2.8058 0.0000
-1.5586 0.0000 6.4438
Zr Nb H
5 2 12
Cartesian
0.0000 0.0000 0.0000
2.0201 0.0000 4.3272
3.2450 0.0000 0.8877
5.7864 0.0000 5.5561
7.0113 0.0000 2.1166
4.5157 1.4423 3.2219
4.5157 -1.4423 3.2219
-0.0377 0.0000 2.0832
2.1597 1.4455 5.8694
2.7129 1.1169 2.6113
6.8717 1.4455 0.5744
4.0316 0.0000 4.5069
6.3186 1.1169 3.8325
2.7129 -1.1169 2.6113
4.9998 0.0000 1.9369
2.1597 -1.4455 5.8694
6.3186 -1.1169 3.8325
6.8717 -1.4455 0.5744
9.0691 0.0000 4.3606

***

(14)
SmErN, optimized geometry, DFT GGA-PBE; total magnetization = 0.67 μB per cell; uncorrected energy = -6.862 eV per atom; symmetry = P3m1, No. 156; density of states at the Fermi level = 0.87 states/eV per atom
1.0
3.5111 0.0000 0.0000
-1.7556 3.0407 0.0000
0.0000 0.0000 6.1154
Sm Er N
1 1 1
Cartesian
0.0000 0.0000 0.0000
0.0000 2.0271 2.7041
1.7556 1.0136 1.5040

***

(15)
Pr2YAgS5, optimized geometry, DFT GGA-PBE; total magnetization = 0.00 μB per cell; uncorrected energy = -6.082 eV per atom; symmetry = Cmc2_1, No. 36; density of states at the Fermi level = 0.01 states/eV per atom
1.0
2.0090 -8.3760 0.0000
2.0090 8.3760 0.0000
0.0000 0.0000 12.1532
Pr Y Ag S
4 2 2 10
Cartesian
2.0090 6.5195 6.0766
2.0090 6.2683 1.4431
2.0090 -6.2683 7.5197
2.0090 -6.5195 0.0000
2.0090 5.1085 9.9690
2.0090 -5.1085 3.8924
2.0090 0.5999 3.4285
2.0090 -0.5999 9.5051
2.0090 7.5818 10.8991
2.0090 3.5595 5.8002
2.0090 3.2497 1.9583
2.0090 2.3788 9.8968
2.0090 0.0194 7.1507
2.0090 -0.0194 1.0741
2.0090 -2.3788 3.8202
2.0090 -3.2497 8.0349
2.0090 -3.5595 11.8768
2.0090 -7.5818 4.8225

***

(16)
Pm4TlBr5, optimized geometry, DFT GGA-PBE; total magnetization = 0.00 μB per cell; uncorrected energy = -4.277 eV per atom; symmetry = C2/m, No. 12; density of states at the Fermi level = 0.52 states/eV per atom
1.0
9.2163 -2.1124 0.0000
9.2163 2.1124 0.0000
-1.6219 0.0000 8.6897
Pm Tl Br
4 1 5
Cartesian
-0.3376 0.0000 2.1277
4.6339 0.0000 8.1052
12.1768 0.0000 0.5845
17.1483 0.0000 6.5620
9.2163 0.0000 0.0000
1.7580 0.0000 7.1148
2.5908 0.0000 2.7201
8.4054 0.0000 4.3448
14.2199 0.0000 5.9696
15.0528 0.0000 1.5749

***

(17)
Pm4PrSm3S8, optimized geometry, DFT GGA-PBE; total magnetization = 0.00 μB per cell; uncorrected energy = -6.458 eV per atom; symmetry = R-3m, No. 166; density of states at the Fermi level = 0.58 states/eV per atom
1.0
4.0352 2.3297 6.5876
-4.0352 2.3297 6.5876
0.0000 -4.6594 6.5876
Pm Pr Sm S
4 1 3 8
Cartesian
0.0000 0.0000 0.0000
-2.0176 -1.1649 6.5876
-2.0176 1.1649 13.1752
0.0000 2.3297 6.5876
0.0000 0.0000 9.8814
-4.0352 0.0000 9.8814
-2.0176 1.1649 3.2938
2.0176 1.1649 3.2938
-2.0425 -1.1792 11.5316
0.0000 -2.3584 8.2312
-2.0425 1.1792 8.2312
0.0000 0.0000 4.9241
0.0000 0.0000 14.8386
2.0425 -1.1792 11.5316
0.0000 2.3584 11.5316
2.0425 1.1792 8.2312